Entry w
Li2ScRu: relaxed, GGA-PBEsol.

- density (Mg/m³) = 3.712
- space-group type = Cmm2

Lattice parameters (Å, degrees): 2.9063 2.9063 9.1621 90.00 90.00 112.44
Last column: nearest neighbours and their distance in Å.
Positions (direct):
1 Li 0.5000 0.5000 0.7132  2 Ru 2.56
2 Li 0.0000 0.0000 0.9967  8 Li 2.91-3.23, 2 Sc 3.17
3 Sc 0.5000 0.5000 0.2941  2 Ru 2.46
4 Ru 0.0000 0.0000 0.4960  2 Sc 2.46, 2 Li 2.56


Entry x
Li2ScRu: relaxed, GGA-PBEsol.

- density (Mg/m³) = 4.274
- space-group type = I4/mmm

Lattice parameters (Å, degrees): 3.6797 3.6797 5.2748 110.41 110.41 90.00
Last column: nearest neighbours and their distance in Å.
Positions (direct):
1 Li 0.2500 0.7500 0.5000  4 Li 2.60
2 Ru 0.5000 0.5000 0.0000  4 Sc 2.60
3 Sc 0.0000 0.0000 0.0000  4 Ru 2.60
4 Li 0.7500 0.2500 0.5000  4 Li 2.60


It comes down to entry x, which is 33 meV/atom more stable than the next structure.


Entry w
SrLiRu2: relaxed, GGA-PBEsol.

- density (Mg/m³) = 7.531
- space-group type = Immm

Lattice parameters (Å, degrees): 2.9152 4.6069 5.5821 114.37 105.14 90.00
Last column: nearest neighbours and their distance in Å.
Positions (direct):
1 Ru 0.2696 0.2696 0.5392  2 Li 2.68, 6 Ru 2.75-2.92
2 Ru 0.7304 0.7304 0.4608  2 Li 2.68, 6 Ru 2.75-2.92
3 Sr 0.5000 0.0000 0.0000  4 Li 2.73, 2 Sr 2.92, 4 Ru 3.00
4 Li 0.0000 0.5000 0.0000  4 Ru 2.68, 4 Sr 2.73, 2 Li 2.92


Entry x
SrLiRu2: relaxed, GGA-PBEsol.

- density (Mg/m³) = 7.212
- space-group type = I4/mmm

Lattice parameters (Å, degrees): 3.7937 3.7937 5.4525 110.36 110.36 90.00
Last column: nearest neighbours and their distance in Å.
Positions (direct):
1 Sr 0.5000 0.5000 0.0000  4 Li 2.68
2 Ru 0.2500 0.7500 0.5000  4 Ru 2.68
3 Li 0.0000 0.0000 0.0000  4 Sr 2.68
4 Ru 0.7500 0.2500 0.5000  4 Ru 2.68


Entry y
SrLiRu2: relaxed, GGA-PBEsol.

- density (Mg/m³) = 7.245
- space-group type = P4/mmm

Lattice parameters (Å, degrees): 3.7696 3.7696 4.7857 90.00 90.00 90.00
Last column: nearest neighbours and their distance in Å.
Positions (direct):
1 Sr 0.5000 0.5000 0.5000  4 Li 2.67
2 Li 0.0000 0.0000 0.5000  4 Sr 2.67
3 Ru 0.5000 0.0000 0.0000  4 Ru 2.67
4 Ru 0.0000 0.5000 0.0000  4 Ru 2.67


It comes down to entry w, which is 36 meV/atom more stable than the next structure.


Entry w
LiTl2Ru: relaxed, GGA-PBEsol.

- density (Mg/m³) = 11.976
- space-group type = I-4m2

Lattice parameters (Å, degrees): 3.9159 3.9159 5.4315 111.13 111.13 90.00
Last column: nearest neighbours and their distance in Å.
Positions (direct):
1 Li 0.5000 0.5000 0.0000  8 Tl 2.77-3.05, 4 Ru 3.05
2 Tl 0.7500 0.2500 0.5000  4 Ru 2.77, 4 Tl 3.05, 4 Li 3.05
3 Ru 0.2500 0.7500 0.5000  8 Tl 2.77-3.05, 4 Li 3.05
4 Tl 0.0000 0.0000 0.0000  4 Li 2.77, 4 Tl 3.05, 4 Ru 3.05


Entry x
LiTl2Ru: relaxed, GGA-PBEsol.

- density (Mg/m³) = 11.543
- space-group type = P4mm

Lattice parameters (Å, degrees): 3.5861 3.5861 5.7810 90.00 90.00 90.00
Last column: nearest neighbours and their distance in Å.
Positions (direct):
1 Tl 0.5000 0.5000 0.2828  2 Ru 2.73-3.05, 4 Li 2.86
2 Ru 0.5000 0.5000 0.7546  6 Tl 2.73-3.05, 4 Li 2.90
3 Tl 0.0000 0.0000 0.9521  1 Li 2.55, 4 Ru 2.78
4 Li 0.0000 0.0000 0.5106  5 Tl 2.55-2.86


Entry y
LiTl2Ru: relaxed, GGA-PBEsol.

- density (Mg/m³) = 11.547
- space-group type = F-43m

Lattice parameters (Å, degrees): 4.7191 4.7191 4.7191 60.00 60.00 60.00
Last column: nearest neighbours and their distance in Å.
Positions (direct):
1 Ru 0.7500 0.7500 0.7500  4 Tl 2.89, 4 Li 2.89
2 Li 0.5000 0.5000 0.5000  4 Tl 2.89, 4 Ru 2.89
3 Tl 0.0000 0.0000 0.0000  4 Ru 2.89, 4 Tl 2.89
4 Tl 0.2500 0.2500 0.2500  4 Tl 2.89, 4 Li 2.89


It comes down to entry w, which is 62 meV/atom more stable than the next structure.


Entry w
Li2RuW: relaxed, GGA-PBEsol.

- density (Mg/m³) = 8.803
- space-group type = I4/mmm

Lattice parameters (Å, degrees): 3.5116 3.5116 5.2016 109.73 109.73 90.00
Last column: nearest neighbours and their distance in Å.
Positions (direct):
1 Ru 0.5000 0.5000 0.0000  4 W 2.48
2 W 0.0000 0.0000 0.0000  4 Ru 2.48
3 Li 0.7500 0.2500 0.5000  4 Li 2.48
4 Li 0.2500 0.7500 0.5000  4 Li 2.48


Entry x
Li2RuW: relaxed, GGA-PBEsol.

- density (Mg/m³) = 8.800
- space-group type = Pmmm

Lattice parameters (Å, degrees): 3.0171 4.0252 4.6427 90.00 90.00 90.00
Last column: nearest neighbours and their distance in Å.
Positions (direct):
1 Ru 0.5000 0.0000 0.5000  4 W 2.52, 4 Li 2.77
2 Li 0.0000 0.0000 0.0000  4 Li 2.52, 4 Ru 2.77
3 Li 0.5000 0.5000 0.0000  4 Li 2.52, 4 W 2.77
4 W 0.0000 0.5000 0.5000  4 Ru 2.52, 4 Li 2.77


Entry y
Li2RuW: relaxed, GGA-PBEsol.

- density (Mg/m³) = 9.913
- space-group type = P4/mmm

Lattice parameters (Å, degrees): 3.1766 3.1766 4.9602 90.00 90.00 90.00
Last column: nearest neighbours and their distance in Å.
Positions (direct):
1 Li 0.0000 0.0000 0.2289  1 Li 2.27, 4 Ru 2.52
2 Ru 0.5000 0.5000 0.0000  2 W 2.48, 8 Li 2.52
3 Li 0.0000 0.0000 0.7711  1 Li 2.27, 4 Ru 2.52
4 W 0.5000 0.5000 0.5000  2 Ru 2.48, 8 Li 2.62


It comes down to entry x, which is 45 meV/atom more stable than the next structure.


Entry w
Li2YRu: relaxed, GGA-PBEsol.

- density (Mg/m³) = 4.937
- space-group type = I4/mmm

Lattice parameters (Å, degrees): 3.8988 3.8988 5.2863 111.64 111.64 90.00
Last column: nearest neighbours and their distance in Å.
Positions (direct):
1 Ru 0.5000 0.5000 0.0000  4 Y 2.76, 8 Li 2.98
2 Li 0.2500 0.7500 0.5000  4 Li 2.76, 4 Ru 2.98, 4 Y 2.98
3 Y 0.0000 0.0000 0.0000  4 Ru 2.76, 8 Li 2.98
4 Li 0.7500 0.2500 0.5000  4 Li 2.76, 4 Ru 2.98, 4 Y 2.98


Entry x
Li2YRu: relaxed, GGA-PBEsol.

- density (Mg/m³) = 4.766
- space-group type = Cmmm

Lattice parameters (Å, degrees): 2.7864 2.7864 10.0755 90.00 90.00 114.76
Last column: nearest neighbours and their distance in Å.
Positions (direct):
1 Li 0.0000 0.0000 0.2899  2 Ru 2.60, 4 Li 2.79
2 Y 0.5000 0.5000 0.0000  6 Y 2.79-3.00
3 Ru 0.5000 0.5000 0.5000  4 Li 2.60, 4 Ru 2.79
4 Li 0.0000 0.0000 0.7101  2 Ru 2.60, 4 Li 2.79


It comes down to entry w, which is 449 meV/atom more stable than the next structure.


Entry w
Li2ZrRu: relaxed, GGA-PBEsol.

- density (Mg/m³) = 4.954
- space-group type = P4mm

Lattice parameters (Å, degrees): 3.2302 3.2302 6.6239 90.00 90.00 90.00
Last column: nearest neighbours and their distance in Å.
Positions (direct):
1 Li 0.0000 0.0000 0.2661  4 Li 2.72, 4 Ru 2.75, 1 Zr 2.84
2 Li 0.5000 0.5000 0.0422  4 Li 2.72, 1 Ru 3.01
3 Zr 0.0000 0.0000 0.6945  4 Ru 2.63, 1 Li 2.84
4 Ru 0.5000 0.5000 0.4972  4 Zr 2.63, 4 Li 2.75


Entry x
Li2ZrRu: relaxed, GGA-PBEsol.

- density (Mg/m³) = 5.841
- space-group type = P4/mmm

Lattice parameters (Å, degrees): 3.3846 3.3846 5.1170 90.00 90.00 90.00
Last column: nearest neighbours and their distance in Å.
Positions (direct):
1 Zr 0.5000 0.5000 0.5000  2 Ru 2.56, 8 Li 2.82
2 Li 0.0000 0.0000 0.7932  1 Li 2.12
3 Li 0.0000 0.0000 0.2068  1 Li 2.12
4 Ru 0.5000 0.5000 0.0000  2 Zr 2.56, 8 Li 2.62


Entry y
Li2ZrRu: relaxed, GGA-PBEsol.

- density (Mg/m³) = 5.016
- space-group type = I-42d

Lattice parameters (Å, degrees): 3.6272 3.6272 10.6884 99.77 99.77 90.00
Last column: nearest neighbours and their distance in Å.
Positions (direct):
1 Li 0.3420 0.8750 0.2500  2 Li 2.40
2 Ru 0.2500 0.7500 0.5000  4 Zr 2.56, 4 Li 2.86
3 Ru 0.0000 0.0000 0.0000  4 Zr 2.56, 4 Li 2.86
4 Li 0.6250 0.6580 0.7500  2 Li 2.40
5 Li 0.9080 0.3750 0.2500  2 Li 2.40
6 Zr 0.7500 0.2500 0.5000  4 Ru 2.56
7 Li 0.1250 0.0920 0.7500  2 Li 2.40
8 Zr 0.5000 0.5000 0.0000  4 Ru 2.56


It comes down to entry w, which is 152 meV/atom more stable than the next structure.